# 1
Density functional theory data (PBE) for an optimized crystal structure of NaLaPaS4.

Geometry as CIF:
```
data_NaLaPaS4
_space_group_name_H-M_alt 'P 1'
_space_group_IT_number 1
_cell_length_a 8.1689
_cell_length_b 8.4098
_cell_length_c 8.4886
_cell_angle_alpha 120.31
_cell_angle_beta 90.00
_cell_angle_gamma 119.06
loop_
_space_group_symop_operation_xyz
'x,y,z'
loop_
_atom_site_label
_atom_site_type_symbol
_atom_site_fract_x
_atom_site_fract_y
_atom_site_fract_z
Na1 Na 0.8763 0.7525 0.1263
Na2 Na 0.1237 0.2475 0.8737
La1 La 0.5000 0.0000 0.5000
La2 La 0.5000 0.0000 0.0000
Pa1 Pa 0.5000 0.5000 0.5000
Pa2 Pa 0.0000 0.5000 0.5000
S1 S 0.7412 0.4825 0.7089
S2 S 0.2885 0.0494 0.2747
S3 S 0.7609 0.0494 0.2747
S4 S 0.7412 0.4825 0.2735
S5 S 0.2588 0.5175 0.7265
S6 S 0.7115 0.9506 0.7253
S7 S 0.2391 0.9506 0.7253
S8 S 0.2588 0.5175 0.2911
```

## Properties
* volume: 416.2 Å³ per cell
* SG: Imma
* formation energy without anion corrections: -12.072 eV/f.u.
* total magnetization: 0.146 μB per atom

---

# 2
Density functional theory data (PBE) for an optimized crystal structure of CaSmPt.

Geometry as CIF:
```
data_CaSmPt
_space_group_name_H-M_alt 'P 1'
_space_group_IT_number 1
_cell_length_a 4.9431
_cell_length_b 4.9431
_cell_length_c 4.9431
_cell_angle_alpha 60.00
_cell_angle_beta 60.00
_cell_angle_gamma 60.00
loop_
_space_group_symop_operation_xyz
'x,y,z'
loop_
_atom_site_label
_atom_site_type_symbol
_atom_site_fract_x
_atom_site_fract_y
_atom_site_fract_z
Ca1 Ca 0.0000 0.0000 0.0000
Sm1 Sm 0.5000 0.5000 0.5000
Pt1 Pt 0.2500 0.2500 0.2500
```

## Properties
* volume: 85.4 Å³ per cell
* SG: F-43m
* excess energy over the best structure of this formula in the dataset: 36 meV/atom
* total magnetization: 0.000 μB per atom

---

# 3
Density functional theory data (PBE) for an optimized crystal structure of MnRuAuCS.

Geometry as CIF:
```
data_MnRuAuCS
_space_group_name_H-M_alt 'P 1'
_space_group_IT_number 1
_cell_length_a 4.0426
_cell_length_b 3.2447
_cell_length_c 11.0596
_cell_angle_alpha 90.00
_cell_angle_beta 90.00
_cell_angle_gamma 90.00
loop_
_space_group_symop_operation_xyz
'x,y,z'
loop_
_atom_site_label
_atom_site_type_symbol
_atom_site_fract_x
_atom_site_fract_y
_atom_site_fract_z
Ru1 Ru 0.0000 0.5000 0.4769
Ru2 Ru 0.5000 0.0000 0.9769
S1 S 0.0000 0.0000 0.3194
S2 S 0.5000 0.5000 0.8194
Mn1 Mn 0.0000 0.5000 0.9032
Mn2 Mn 0.5000 0.0000 0.4032
Au1 Au 0.0000 0.0000 0.6831
Au2 Au 0.5000 0.5000 0.1831
C1 C 0.0000 0.0000 0.9965
C2 C 0.5000 0.5000 0.4965
```

## Properties
* volume: 145.1 Å³ per cell
* SG: Imm2
* excess energy over the best structure of this formula in the dataset: 134 meV/atom
* formation energy without anion corrections: 1.340 eV/f.u.
* total magnetization: 0.245 μB per atom

---

# 4
Density functional theory data (PBE) for an optimized crystal structure of AcNd2SmDy4.

Geometry as CIF:
```
data_AcNd2SmDy4
_space_group_name_H-M_alt 'P 1'
_space_group_IT_number 1
_cell_length_a 9.6723
_cell_length_b 9.6723
_cell_length_c 12.0042
_cell_angle_alpha 128.36
_cell_angle_beta 128.36
_cell_angle_gamma 88.39
loop_
_space_group_symop_operation_xyz
'x,y,z'
loop_
_atom_site_label
_atom_site_type_symbol
_atom_site_fract_x
_atom_site_fract_y
_atom_site_fract_z
Ac1 Ac 0.0000 0.5000 0.0000
Ac2 Ac 0.0000 0.5000 0.5000
Nd1 Nd 0.5000 0.0000 0.0000
Nd2 Nd 0.5000 0.0000 0.5000
Nd3 Nd 0.0000 0.0000 0.5000
Nd4 Nd 0.5000 0.5000 0.0000
Sm1 Sm 0.5000 0.5000 0.5000
Sm2 Sm 0.0000 0.0000 0.0000
Dy1 Dy 0.2613 0.7648 0.0130
Dy2 Dy 0.7351 0.2387 0.4870
Dy3 Dy 0.2649 0.7613 0.5130
Dy4 Dy 0.7387 0.2352 0.9870
Dy5 Dy 0.7412 0.7572 0.9974
Dy6 Dy 0.7428 0.7588 0.5026
Dy7 Dy 0.2572 0.2413 0.4974
Dy8 Dy 0.2587 0.2428 0.0026
```

## Properties
* volume: 562.2 Å³ per cell
* E_tot: -4.1776 eV per atom
* SG: C2/c
* total magnetization: 0.131 μB per atom

---

# 5
Density functional theory data (PBE) for an optimized crystal structure of PmPrGaOs.

Geometry as CIF:
```
data_PmPrGaOs
_space_group_name_H-M_alt 'P 1'
_space_group_IT_number 1
_cell_length_a 5.1019
_cell_length_b 5.1019
_cell_length_c 5.1019
_cell_angle_alpha 60.00
_cell_angle_beta 60.00
_cell_angle_gamma 60.00
loop_
_space_group_symop_operation_xyz
'x,y,z'
loop_
_atom_site_label
_atom_site_type_symbol
_atom_site_fract_x
_atom_site_fract_y
_atom_site_fract_z
Pr1 Pr 0.5000 0.5000 0.5000
Os1 Os 0.7500 0.7500 0.7500
Ga1 Ga 0.2500 0.2500 0.2500
Pm1 Pm 0.0000 0.0000 0.0000
```

## Properties
* volume: 93.9 Å³ per cell
* E_tot: -6.1213 eV per atom
* SG: F-43m
* total magnetization: 0.000 μB per atom

---

# 6
Density functional theory data (PBE) for an optimized crystal structure of KBe2Rh.

Geometry as CIF:
```
data_KBe2Rh
_space_group_name_H-M_alt 'P 1'
_space_group_IT_number 1
_cell_length_a 3.7073
_cell_length_b 2.8494
_cell_length_c 7.0963
_cell_angle_alpha 88.51
_cell_angle_beta 90.00
_cell_angle_gamma 90.00
loop_
_space_group_symop_operation_xyz
'x,y,z'
loop_
_atom_site_label
_atom_site_type_symbol
_atom_site_fract_x
_atom_site_fract_y
_atom_site_fract_z
Be1 Be 0.0000 0.1364 0.9330
Be2 Be 0.5000 0.1234 0.1442
K1 K 0.0000 0.6004 0.5110
Rh1 Rh 0.5000 0.6398 0.9118
```

## Properties
* volume: 74.9 Å³ per cell
* SG: Pm
* excess energy over the best structure of this formula in the dataset: 252 meV/atom
* total magnetization: 0.000 μB per atom

---

# 7
Density functional theory data (PBE) for an optimized crystal structure of BaPtSe.

Geometry as CIF:
```
data_BaPtSe
_space_group_name_H-M_alt 'P 1'
_space_group_IT_number 1
_cell_length_a 4.5143
_cell_length_b 4.5143
_cell_length_c 9.0133
_cell_angle_alpha 90.00
_cell_angle_beta 90.00
_cell_angle_gamma 120.00
loop_
_space_group_symop_operation_xyz
'x,y,z'
loop_
_atom_site_label
_atom_site_type_symbol
_atom_site_fract_x
_atom_site_fract_y
_atom_site_fract_z
Se1 Se 0.3333 0.6667 0.2500
Se2 Se 0.6667 0.3333 0.7500
Ba1 Ba 0.0000 0.0000 0.0000
Ba2 Ba 0.0000 0.0000 0.5000
Pt1 Pt 0.3333 0.6667 0.7500
Pt2 Pt 0.6667 0.3333 0.2500
```

## Properties
* volume: 159.1 Å³ per cell
* SG: P6_3/mmc
* formation energy without anion corrections: -3.452 eV/f.u.
* total magnetization: 0.000 μB per atom

---

# 8
Density functional theory data (PBE) for an optimized crystal structure of CdFe2W.

Geometry as CIF:
```
data_CdFe2W
_space_group_name_H-M_alt 'P 1'
_space_group_IT_number 1
_cell_length_a 4.5856
_cell_length_b 4.5856
_cell_length_c 2.8057
_cell_angle_alpha 90.01
_cell_angle_beta 90.01
_cell_angle_gamma 99.27
loop_
_space_group_symop_operation_xyz
'x,y,z'
loop_
_atom_site_label
_atom_site_type_symbol
_atom_site_fract_x
_atom_site_fract_y
_atom_site_fract_z
Cd1 Cd 0.0000 0.5000 0.5000
Fe1 Fe 0.0000 0.0000 0.0000
Fe2 Fe 0.5000 0.5000 0.0000
W1 W 0.5000 0.0000 0.5000
```

## Properties
* volume: 58.2 Å³ per cell
* E_tot: -7.2443 eV per atom
* SG: Cmmm
* total magnetization: 0.928 μB per atom

---

# 9
Density functional theory data (PBE) for an optimized crystal structure of TaTe2H.

Geometry as CIF:
```
data_TaTe2H
_space_group_name_H-M_alt 'P 1'
_space_group_IT_number 1
_cell_length_a 3.6066
_cell_length_b 3.6066
_cell_length_c 7.9884
_cell_angle_alpha 77.16
_cell_angle_beta 77.16
_cell_angle_gamma 60.00
loop_
_space_group_symop_operation_xyz
'x,y,z'
loop_
_atom_site_label
_atom_site_type_symbol
_atom_site_fract_x
_atom_site_fract_y
_atom_site_fract_z
Ta1 Ta 0.7917 0.7917 0.6251
Te1 Te 0.0426 0.0426 0.8763
Te2 Te 0.2074 0.2074 0.3736
H1 H 0.4583 0.4583 0.6249
```

## Properties
* volume: 87.0 Å³ per cell
* SG: Cm
* excess energy over the best structure of this formula in the dataset: 0 meV/atom
* total magnetization: 0.000 μB per atom

---

# 10
Density functional theory data (PBE) for an optimized crystal structure of LaPrMgSb.

Geometry as CIF:
```
data_LaPrMgSb
_space_group_name_H-M_alt 'P 1'
_space_group_IT_number 1
_cell_length_a 5.5290
_cell_length_b 5.5290
_cell_length_c 5.5290
_cell_angle_alpha 60.00
_cell_angle_beta 60.00
_cell_angle_gamma 60.00
loop_
_space_group_symop_operation_xyz
'x,y,z'
loop_
_atom_site_label
_atom_site_type_symbol
_atom_site_fract_x
_atom_site_fract_y
_atom_site_fract_z
Pr1 Pr 0.2500 0.2500 0.2500
Sb1 Sb 0.0000 0.0000 0.0000
Mg1 Mg 0.5000 0.5000 0.5000
La1 La 0.7500 0.7500 0.7500
```

## Properties
* volume: 119.5 Å³ per cell
* SG: F-43m
* formation energy without anion corrections: -2.001 eV/f.u.
* total magnetization: 0.000 μB per atom

---

# 11
Density functional theory data (PBE) for an optimized crystal structure of Si2IrW.

Geometry as CIF:
```
data_Si2IrW
_space_group_name_H-M_alt 'P 1'
_space_group_IT_number 1
_cell_length_a 8.3119
_cell_length_b 8.3119
_cell_length_c 8.3119
_cell_angle_alpha 19.62
_cell_angle_beta 19.62
_cell_angle_gamma 19.62
loop_
_space_group_symop_operation_xyz
'x,y,z'
loop_
_atom_site_label
_atom_site_type_symbol
_atom_site_fract_x
_atom_site_fract_y
_atom_site_fract_z
Ir1 Ir 0.7500 0.7500 0.7500
Si1 Si 0.0037 0.0037 0.0037
Si2 Si 0.4963 0.4963 0.4963
W1 W 0.2500 0.2500 0.2500
```

## Properties
* volume: 56.6 Å³ per cell
* SG: R-3m
* excess energy over the best structure of this formula in the dataset: 174 meV/atom
* formation energy without anion corrections: -0.515 eV/f.u.
* total magnetization: 0.000 μB per atom

---

# 12
Density functional theory data (PBE) for an optimized crystal structure of MnCI2N.

Geometry as CIF:
```
data_MnCI2N
_space_group_name_H-M_alt 'P 1'
_space_group_IT_number 1
_cell_length_a 5.4685
_cell_length_b 5.4685
_cell_length_c 3.5462
_cell_angle_alpha 90.00
_cell_angle_beta 90.00
_cell_angle_gamma 90.00
loop_
_space_group_symop_operation_xyz
'x,y,z'
loop_
_atom_site_label
_atom_site_type_symbol
_atom_site_fract_x
_atom_site_fract_y
_atom_site_fract_z
I1 I 0.0000 0.5000 0.0000
I2 I 0.5000 0.0000 0.0000
C1 C 0.5000 0.5000 0.5000
Mn1 Mn 0.0000 0.0000 0.0000
N1 N 0.0000 0.0000 0.5000
```

## Properties
* volume: 106.0 Å³ per cell
* SG: P4/mmm
* excess energy over the best structure of this formula in the dataset: 339 meV/atom
* formation energy without anion corrections: 7.699 eV/f.u.
* total magnetization: 0.723 μB per atom

---

Among the records above, which one has the highest total magnetization?
CdFe2W

---

Look up the volume of the ninth one.
87.0 Å³ per cell

---

Look up the volume of the second one.
85.4 Å³ per cell

---

volume of number 8 (CdFe2W)?
58.2 Å³ per cell